No. 1
DFT (GGA-PBE) results for an optimized crystal structure of BaIr2Cl.

For the distance to the lowest polymorph of the same formula, the calculation gives 3.68 eV per formula unit. Its crystal system is cubic. The value obtained for the total magnetic moment is 2.92 μB/f.u. The value obtained for the formation energy from raw total energies is 0.5946 eV/atom.

The structure belongs to space group F-43m (No. 216); the cell edges are 7.0807, 7.0807 and 7.0807 Å and the angles 90.00°, 90.00° and 90.00°. The asymmetric unit holds Ba at (0.0000, 0.0000, 0.0000), Ir at (0.0000, 0.0000, 0.5000), Ir at (0.2500, 0.2500, 0.2500) and Cl at (0.2500, 0.2500, 0.7500).

=====

No. 2
DFT (GGA-PBE) results for an optimized crystal structure of La2SiO.

For the distance to the lowest polymorph of the same formula, the calculation gives 0.23 eV per formula unit. Its crystal system is trigonal. The value obtained for the total magnetic moment is 0.00 μB/f.u. The value obtained for the formation energy from raw total energies is -1.5821 eV/atom.

The structure belongs to space group R-3m (No. 166, hexagonal axes); the cell edges are 3.9836, 3.9836 and 20.0438 Å and the angles 90.00°, 90.00° and 120.00°. The asymmetric unit holds La at (0.0000, 0.0000, 0.2382), Si at (0.0000, 0.0000, 0.0000) and O at (0.0000, 0.0000, 0.5000).

=====

No. 3
DFT (GGA-PBE) results for an optimized crystal structure of K2CuTe3.

For the distance to the lowest polymorph of the same formula, the calculation gives 1.08 eV per formula unit. Its crystal system is trigonal. The value obtained for the total magnetic moment is 0.00 μB/f.u. The value obtained for the formation energy from raw total energies is -0.3890 eV/atom.

The structure belongs to space group P-3m1 (No. 164); the cell edges are 7.4557, 7.4557 and 12.0693 Å and the angles 90.00°, 90.00° and 120.00°. The asymmetric unit holds K at (0.0000, 0.0000, 0.0000), K at (0.0000, 0.0000, 0.5000), K at (0.3333, 0.6667, 0.2500), Cu at (0.3333, 0.6667, 0.6949) and Te at (0.1498, 0.2996, 0.7505).

=====

No. 4
DFT (GGA-PBE) results for an optimized crystal structure of Hf2TiH.

For the distance to the lowest polymorph of the same formula, the calculation gives 1.24 eV per formula unit. Its crystal system is tetragonal. The value obtained for the total magnetic moment is 0.00 μB/f.u.

The structure belongs to space group P4/mmm (No. 123); the cell edges are 2.9733, 2.9733 and 7.2684 Å and the angles 90.00°, 90.00° and 90.00°. The asymmetric unit holds Hf at (0.0000, 0.0000, 0.2063), Ti at (0.5000, 0.5000, 0.5000) and H at (0.5000, 0.5000, 0.0000).

=====

No. 5
DFT (GGA-PBE) results for an optimized crystal structure of Ta4Au.

For the distance to the lowest polymorph of the same formula, the calculation gives 4.06 eV per formula unit. Its crystal system is tetragonal. The calculation puts the formation energy from the elements at 0.80 eV/atom. The value obtained for the total magnetic moment is 0.00 μB/f.u.

The structure belongs to space group I4/mmm (No. 139); the cell edges are 3.8029, 3.8029 and 13.8685 Å and the angles 90.00°, 90.00° and 90.00°. The asymmetric unit holds Ta at (0.0000, 0.0000, 0.0932), Ta at (0.0000, 0.5000, 0.2500) and Au at (0.0000, 0.0000, 0.5000).

=====

No. 6
DFT (GGA-PBE) results for an optimized crystal structure of MoPRhC2.

Its crystal system is tetragonal. The calculation puts the formation energy from the elements at 1.81 eV/atom. The value obtained for the total magnetic moment is 0.00 μB/f.u.

The structure belongs to space group P4/mmm (No. 123); the cell edges are 3.8512, 3.8512 and 5.5134 Å and the angles 90.00°, 90.00° and 90.00°. The asymmetric unit holds Mo at (0.0000, 0.0000, 0.0000), P at (0.5000, 0.5000, 0.5000), Rh at (0.0000, 0.0000, 0.5000) and C at (0.0000, 0.5000, 0.0000).

=====

No. 7
DFT (GGA-PBE) results for an optimized crystal structure of YRu4.

For the distance to the lowest polymorph of the same formula, the calculation gives 11.17 eV per formula unit. Its crystal system is cubic. The calculation puts the formation energy from the elements at 2.40 eV/atom. The value obtained for the total magnetic moment is 6.38 μB/f.u.

The structure belongs to space group Pm-3m (No. 221); the cell edges are 4.7727, 4.7727 and 4.7727 Å and the angles 90.00°, 90.00° and 90.00°. The asymmetric unit holds Y at (0.0000, 0.0000, 0.0000), Ru at (0.0000, 0.0000, 0.5000) and Ru at (0.5000, 0.5000, 0.5000).

=====

No. 8
DFT (GGA-PBE) results for an optimized crystal structure of La5Pm2Ho12.

Its crystal system is triclinic. The calculation puts the formation energy from the elements at 0.09 eV/atom. The value obtained for the total magnetic moment is 0.00 μB/f.u.

The structure belongs to space group P-1 (No. 2); the cell edges are 6.8167, 6.8585 and 15.1925 Å and the angles 87.90°, 80.48° and 64.97°. The asymmetric unit holds La at (0.0000, 0.0000, 0.0000), La at (0.2330, 0.9989, 0.5350), La at (0.4247, 0.9466, 0.1178), Pm at (0.2629, 0.4906, 0.4690), Ho at (0.0816, 0.2421, 0.3143), Ho at (0.0828, 0.7406, 0.2562), Ho at (0.1224, 0.5154, 0.8837), Ho at (0.3853, 0.7756, 0.7426), Ho at (0.3868, 0.4313, 0.0790) and Ho at (0.4375, 0.2653, 0.6752).

=====

No. 9
DFT (GGA-PBE) results for an optimized crystal structure of K2TcOF5.

Its crystal system is tetragonal. The value obtained for the total magnetic moment is 0.06 μB/f.u. The value obtained for the formation energy from raw total energies is -2.3391 eV/atom.

The structure belongs to space group I4mm (No. 107); the cell edges are 6.2668, 6.2668 and 7.8067 Å and the angles 90.00°, 90.00° and 90.00°. The asymmetric unit holds K at (0.0000, 0.5000, 0.0000), Tc at (0.0000, 0.0000, 0.2344), O at (0.0000, 0.0000, 0.0185), F at (0.0000, 0.0000, 0.4857) and F at (0.2250, 0.2250, 0.2621).

=====

No. 10
DFT (GGA-PBE) results for an optimized crystal structure of K2CrCo.

For the distance to the lowest polymorph of the same formula, the calculation gives 0.07 eV per formula unit. Its crystal system is orthorhombic. The calculation puts the formation energy from the elements at 0.80 eV/atom. The value obtained for the total magnetic moment is 2.40 μB/f.u.

The structure belongs to space group Immm (No. 71); the cell edges are 3.2033, 3.6598 and 19.9558 Å and the angles 90.00°, 90.00° and 90.00°. The asymmetric unit holds K at (0.0000, 0.0000, 0.1472), Cr at (0.0000, 0.5000, 0.0000) and Co at (0.0000, 0.5000, 0.5000).

=====

No. 11
DFT (GGA-PBE) results for an optimized crystal structure of Sr2LiMoH6.

Its crystal system is trigonal. The value obtained for the total magnetic moment is 1.00 μB/f.u. The total energy is -39.5 eV per cell.

The structure belongs to space group P-3m1 (No. 164); the cell edges are 5.3909, 5.3909 and 5.0121 Å and the angles 90.00°, 90.00° and 120.00°. The asymmetric unit holds Sr at (0.3333, 0.6667, 0.2206), Li at (0.0000, 0.0000, 0.5000), Mo at (0.0000, 0.0000, 0.0000) and H at (0.1596, 0.3192, 0.7700).

=====

No. 12
DFT (GGA-PBE) results for an optimized crystal structure of KBeGa2.

Its crystal system is monoclinic. The calculation puts the formation energy from the elements at 0.08 eV/atom. The value obtained for the total magnetic moment is 0.00 μB/f.u.

The structure belongs to space group Cm (No. 8); the cell edges are 7.0978, 4.0919 and 6.8882 Å and the angles 90.00°, 110.30° and 90.00°. The asymmetric unit holds K at (0.0000, 0.0000, 0.0000), Be at (0.3231, 0.5000, 0.4685), Ga at (0.1990, 0.0000, 0.5942) and Ga at (0.4666, 0.0000, 0.3999).

=====

What did the first record say?
DFT (GGA-PBE) results for an optimized crystal structure of BaIr2Cl.

For the distance to the lowest polymorph of the same formula, the calculation gives 3.68 eV per formula unit. Its crystal system is cubic. The value obtained for the total magnetic moment is 2.92 μB/f.u. The value obtained for the formation energy from raw total energies is 0.5946 eV/atom.

The structure belongs to space group F-43m (No. 216); the cell edges are 7.0807, 7.0807 and 7.0807 Å and the angles 90.00°, 90.00° and 90.00°. The asymmetric unit holds Ba at (0.0000, 0.0000, 0.0000), Ir at (0.0000, 0.0000, 0.5000), Ir at (0.2500, 0.2500, 0.2500) and Cl at (0.2500, 0.2500, 0.7500).